HoCdAu4: optimized geometry, PBE.

CIF file:
```
data_HoCdAu4
_chemical_formula_sum 'Ho2 Cd2 Au8'
_cell_length_a 9.513
_cell_length_b 3.911
_cell_length_c 6.955
_cell_angle_alpha 90.00
_cell_angle_beta 110.26
_cell_angle_gamma 90.00
_symmetry_space_group_name_H-M 'C 1 2/m 1'
_symmetry_Int_Tables_number 12
loop_
_symmetry_equiv_pos_as_xyz
'x,y,z'
'-x,-y,-z'
'-x,y,-z'
'x,-y,z'
'x+1/2,y+1/2,z'
'-x+1/2,-y+1/2,-z'
'-x+1/2,y+1/2,-z'
'x+1/2,-y+1/2,z'
loop_
_atom_site_label
_atom_site_fract_x
_atom_site_fract_y
_atom_site_fract_z
_atom_site_occupancy
Ho1 0.000 0.000 0.000 1
Cd1 0.000 0.000 0.500 1
Au1 0.165 0.500 0.830 1
Au2 0.166 0.500 0.334 1
```

Values from the calculation:
Total DFT energy (no corrections): -3.59 eV/atom